Run P
VASP calculation (PBE-GGA) on a geometry-optimized CsY2Ru structure.

Output
* DOS at the Fermi energy: 17.4 states/eV/cell

Cell: 7.523 7.523 7.523 Å, 90.00 90.00 90.00°
Space group Fm-3m (No. 225)
One atom of each set of equivalent atoms:
Cs  0.000  0.000  0.000 [4 per cell]
Y  0.250  0.250  0.250 [8 per cell]
Ru  0.000  0.000  0.500 [4 per cell]



Run Q
VASP calculation (PBE-GGA) on a geometry-optimized CsY2Ru structure.

Output
* DOS at the Fermi energy: 17.7 states/eV/cell

Cell: 8.275 8.275 11.725 Å, 90.00 90.00 90.00°
Space group I-42d (No. 122)
One atom of each set of equivalent atoms:
Cs  0.000  0.000  0.000 [4 per cell]
Y  0.001  0.250  0.625 [8 per cell]
Ru  0.000  0.000  0.500 [4 per cell]



Stability ranking, top and bottom: run Q is the most stable and run P is the least stable.



Run P
VASP calculation (PBE-GGA) on a geometry-optimized Cs2YRu2 structure.

Output
* DOS at the Fermi energy: 11.2 states/eV/cell

Cell: 8.990 8.990 3.278 Å, 90.00 90.00 90.00°
Space group P4/mbm (No. 127)
One atom of each set of equivalent atoms:
Cs  0.134  0.366  0.000 [4 per cell]
Y  0.000  0.000  0.000 [2 per cell]
Ru  0.188  0.688  0.500 [4 per cell]



Run Q
VASP calculation (PBE-GGA) on a geometry-optimized Cs2YRu2 structure.

Output
* DOS at the Fermi energy: 14.4 states/eV/cell

Cell: 5.216 5.216 10.667 Å, 90.00 90.00 90.00°
Space group I4/mmm (No. 139)
One atom of each set of equivalent atoms:
Cs  0.000  0.000  0.149 [4 per cell]
Y  0.000  0.000  0.500 [2 per cell]
Ru  0.000  0.500  0.250 [4 per cell]



Stability ranking, top and bottom: run P is the most stable and run Q is the least stable.



Run P
VASP calculation (PBE-GGA) on a geometry-optimized Cs2ZnRu structure.

Output
* DOS at the Fermi energy: 27.7 states/eV/cell

Cell: 8.756 8.756 8.756 Å, 90.00 90.00 90.00°
Space group Fm-3m (No. 225)
One atom of each set of equivalent atoms:
Cs  0.250  0.250  0.250 [8 per cell]
Zn  0.000  0.000  0.000 [4 per cell]
Ru  0.000  0.000  0.500 [4 per cell]



Run Q
VASP calculation (PBE-GGA) on a geometry-optimized Cs2ZnRu structure.

Output
* DOS at the Fermi energy: 10.8 states/eV/cell

Cell: 12.243 12.243 4.925 Å, 90.00 90.00 90.00°
Space group I-42d (No. 122)
One atom of each set of equivalent atoms:
Cs  0.008  0.250  0.125 [8 per cell]
Zn  0.000  0.000  0.500 [4 per cell]
Ru  0.000  0.000  0.000 [4 per cell]



Stability ranking, top and bottom: run Q is the most stable and run P is the least stable.